1.
Entry from the Alexandria database: a relaxed TiV2RuBr crystal (PBE).

The structure in POSCAR format:
```
TiV2RuBr
1.0
4.574 0.000 0.000
0.000 4.574 0.000
0.000 0.000 4.574
V Ti Ru Br
2 1 1 1
Cartesian
2.287 0.000 0.000
0.000 0.000 2.287
0.000 0.000 0.000
0.000 2.287 0.000
2.287 2.287 2.287
```

Computed properties:
Calculated total energy: -5.98 eV per atom
DOS at the Fermi energy: 10.9 states/eV/cell

=====

2.
Entry from the Alexandria database: a relaxed Tl2SiSn2 crystal (PBE).

The structure in POSCAR format:
```
Tl2SiSn2
1.0
7.230 0.000 0.000
0.000 7.230 0.000
0.000 0.000 5.577
Tl Sn Si
4 4 2
Cartesian
4.879 5.966 2.789
5.966 2.351 2.789
2.351 1.264 2.789
1.264 4.879 2.789
1.053 2.562 0.000
4.668 1.053 0.000
6.177 4.668 0.000
2.562 6.177 0.000
3.615 3.615 0.000
0.000 0.000 0.000
```

Computed properties:
Calculated total energy: -3.41 eV per atom
DOS at the Fermi energy: 2.3 states/eV/cell

=====

3.
Entry from the Alexandria database: a relaxed Cs3DySb2O9 crystal (PBE).

The structure in POSCAR format:
```
Cs3DySb2O9
1.0
-3.185 -4.342 2.814
5.812 0.955 1.492
-2.139 4.928 5.183
O Sb Dy Cs
9 2 1 3
Cartesian
-1.592 -2.171 1.407
1.314 -1.694 2.153
0.822 1.120 2.660
2.906 0.477 0.746
-1.565 2.006 4.813
-3.056 -0.027 6.131
3.544 1.567 3.358
-0.334 0.420 6.829
2.053 -0.466 4.676
2.467 -0.014 2.771
-1.979 1.554 6.718
-1.070 2.464 2.592
1.394 2.458 5.371
-0.906 -0.918 4.118
0.000 0.000 0.000
```

Computed properties:
Calculated total energy: -5.55 eV per atom
DOS at the Fermi energy: 10.9 states/eV/cell

=====

4.
Entry from the Alexandria database: a relaxed LiHoSiPt crystal (PBE).

The structure in POSCAR format:
```
LiHoSiPt
1.0
-2.426 -1.788 -3.408
0.801 -4.264 -1.370
-3.045 -3.272 0.848
Pt Li Si Ho
1 1 1 1
Cartesian
-2.335 -4.662 -1.965
0.000 0.000 0.000
-3.502 -6.993 -2.947
-1.167 -2.331 -0.982
```

Computed properties:
Calculated total energy: -5.32 eV per atom

=====

5.
Entry from the Alexandria database: a relaxed Er3TlBi crystal (PBE).

The structure in POSCAR format:
```
Er3TlBi
1.0
-1.550 4.503 -0.648
-2.202 -1.679 -6.403
-8.026 -2.264 3.466
Er Tl Bi
6 2 2
Cartesian
-9.260 0.817 1.089
-3.481 2.720 0.488
-2.518 -0.256 -4.673
-4.628 1.877 -2.620
-7.150 -1.317 -0.964
-8.297 -2.159 -4.073
-2.051 0.394 -1.266
-9.727 0.166 -2.318
-6.389 1.642 -0.043
-5.389 -1.082 -3.541
```

Computed properties:
Calculated total energy: -4.42 eV per atom
DOS at the Fermi energy: 5.2 states/eV/cell

=====

6.
Entry from the Alexandria database: a relaxed NaZn3As crystal (PBE).

The structure in POSCAR format:
```
NaZn3As
1.0
5.002 0.000 0.000
0.000 5.002 0.000
0.000 0.000 5.002
Zn Na As
3 1 1
Cartesian
0.000 0.000 2.501
2.501 0.000 0.000
0.000 2.501 0.000
0.000 0.000 0.000
2.501 2.501 2.501
```

Computed properties:
Relative energy among the computed polymorphs: 63.1 kJ/mol of atoms
DOS at the Fermi energy: 3.3 states/eV/cell